Record 1
Material: Ni2Au
Method: DFT, PBE-GGA
State: optimized geometry

abc: 5.7188 5.7188 5.3674
angles: 90.00 90.00 90.00
Last column: nearest neighbours and their distance in Å.
Element x y z (fractional)
Ni (0.1415, 0.3585, 0.0000)  1 Ni 2.29
Ni (0.1415, 0.6415, 0.5000)  1 Ni 2.29
Ni (0.3585, 0.1415, 0.5000)  1 Ni 2.29
Ni (0.3585, 0.8585, 0.0000)  1 Ni 2.29
Ni (0.6415, 0.1415, 0.0000)  1 Ni 2.29
Ni (0.6415, 0.8585, 0.5000)  1 Ni 2.29
Ni (0.8585, 0.3585, 0.5000)  1 Ni 2.29
Ni (0.8585, 0.6415, 0.0000)  1 Ni 2.29
Au (0.0000, 0.0000, 0.2500)  8 Ni 2.58, 2 Au 2.68
Au (0.0000, 0.0000, 0.7500)  8 Ni 2.58, 2 Au 2.68
Au (0.5000, 0.5000, 0.2500)  8 Ni 2.58, 2 Au 2.68
Au (0.5000, 0.5000, 0.7500)  8 Ni 2.58, 2 Au 2.68

Summary:
- Energy of formation: 0.4631 eV per atom

Record 2
Material: Ni3Au
Method: DFT, PBE-GGA
State: optimized geometry

abc: 3.6473 3.6473 7.5199
angles: 90.00 90.00 90.00
Last column: nearest neighbours and their distance in Å.
Element x y z (fractional)
Ni (0.0000, 0.0000, 0.0000)  4 Au 2.58, 8 Ni 2.62
Ni (0.0000, 0.5000, 0.2500)  8 Ni 2.58-2.62, 4 Au 2.62
Ni (0.0000, 0.5000, 0.7500)  8 Ni 2.58-2.62, 4 Au 2.62
Ni (0.5000, 0.0000, 0.2500)  8 Ni 2.58-2.62, 4 Au 2.62
Ni (0.5000, 0.0000, 0.7500)  8 Ni 2.58-2.62, 4 Au 2.62
Ni (0.5000, 0.5000, 0.5000)  4 Au 2.58, 8 Ni 2.62
Au (0.0000, 0.0000, 0.5000)  12 Ni 2.58-2.62
Au (0.5000, 0.5000, 0.0000)  12 Ni 2.58-2.62

Summary:
- Energy of formation: 0.0909 eV per atom

Record 3
Material: Ni2Au
Method: DFT, PBE-GGA
State: optimized geometry

abc: 4.7999 4.7999 4.7999
angles: 60.03 60.03 60.03
Last column: nearest neighbours and their distance in Å.
Element x y z (fractional)
Ni (0.0000, 0.0000, 0.0000)  6 Ni 2.40
Ni (0.0000, 0.0000, 0.5000)  6 Ni 2.40
Ni (0.0000, 0.5000, 0.0000)  6 Ni 2.40
Ni (0.5000, 0.0000, 0.0000)  6 Ni 2.40
Au (0.3743, 0.3743, 0.3743)  12 Ni 2.81-2.82, 4 Au 2.94-2.96
Au (0.6257, 0.6257, 0.6257)  12 Ni 2.81-2.82, 4 Au 2.94-2.96

Summary:
- Energy of formation: 0.0906 eV per atom

Record 4
Material: Ni3Au
Method: DFT, PBE-GGA
State: optimized geometry

abc: 5.2329 5.2329 4.2522
angles: 90.00 90.00 120.00
Last column: nearest neighbours and their distance in Å.
Element x y z (fractional)
Ni (0.1589, 0.3178, 0.2500)  8 Ni 2.49-2.74, 4 Au 2.62-2.65
Ni (0.1589, 0.8411, 0.2500)  8 Ni 2.49-2.74, 4 Au 2.62-2.65
Ni (0.3178, 0.1589, 0.7500)  8 Ni 2.49-2.74, 4 Au 2.62-2.65
Ni (0.6822, 0.8411, 0.2500)  8 Ni 2.49-2.74, 4 Au 2.62-2.65
Ni (0.8411, 0.1589, 0.7500)  8 Ni 2.49-2.74, 4 Au 2.62-2.65
Ni (0.8411, 0.6822, 0.7500)  8 Ni 2.49-2.74, 4 Au 2.62-2.65
Au (0.3333, 0.6667, 0.7500)  12 Ni 2.62-2.65
Au (0.6667, 0.3333, 0.2500)  12 Ni 2.62-2.65

Summary:
- Energy of formation: 0.0942 eV per atom

Record 5
Material: Ni3Au2
Method: DFT, PBE-GGA
State: optimized geometry

abc: 5.8681 5.8681 5.8681
angles: 64.48 64.48 64.48
Last column: nearest neighbours and their distance in Å.
Element x y z (fractional)
Ni (0.0255, 0.2500, 0.4745)  2 Ni 2.43, 4 Au 2.50-2.57
Ni (0.2500, 0.4745, 0.0255)  2 Ni 2.43, 4 Au 2.50-2.57
Ni (0.4745, 0.0255, 0.2500)  2 Ni 2.43, 4 Au 2.50-2.57
Ni (0.5255, 0.9745, 0.7500)  2 Ni 2.43, 4 Au 2.50-2.57
Ni (0.7500, 0.5255, 0.9745)  2 Ni 2.43, 4 Au 2.50-2.57
Ni (0.9745, 0.7500, 0.5255)  2 Ni 2.43, 4 Au 2.50-2.57
Au (0.0950, 0.0950, 0.0950)  6 Ni 2.50-2.57, 1 Au 2.64
Au (0.4050, 0.4050, 0.4050)  6 Ni 2.50-2.57, 1 Au 2.64
Au (0.5950, 0.5950, 0.5950)  6 Ni 2.50-2.57, 1 Au 2.64
Au (0.9050, 0.9050, 0.9050)  6 Ni 2.50-2.57, 1 Au 2.64

Summary:
- Energy of formation: 0.4692 eV per atom

Record 6
Material: Ni2Au3
Method: DFT, PBE-GGA
State: optimized geometry

abc: 4.2589 4.2589 5.2191
angles: 90.00 90.00 120.00
Last column: nearest neighbours and their distance in Å.
Element x y z (fractional)
Ni (0.3333, 0.6667, 0.1456)  8 Au 2.57-2.69
Ni (0.6667, 0.3333, 0.8544)  8 Au 2.57-2.69
Au (0.0000, 0.0000, 0.0000)  6 Ni 2.57
Au (0.3333, 0.6667, 0.6454)  5 Ni 2.61-2.69, 3 Au 2.89
Au (0.6667, 0.3333, 0.3546)  5 Ni 2.61-2.69, 3 Au 2.89

Summary:
- Energy of formation: 0.1507 eV per atom

Record 7
Material: Ni2Au
Method: DFT, PBE-GGA
State: optimized geometry

abc: 4.8035 4.8035 4.8035
angles: 60.00 60.00 60.00
Last column: nearest neighbours and their distance in Å.
Element x y z (fractional)
Ni (0.0000, 0.0000, 0.0000)  6 Ni 2.40
Ni (0.0000, 0.0000, 0.5000)  6 Ni 2.40
Ni (0.0000, 0.5000, 0.0000)  6 Ni 2.40
Ni (0.5000, 0.0000, 0.0000)  6 Ni 2.40
Au (0.3750, 0.3750, 0.3750)  12 Ni 2.82, 4 Au 2.94
Au (0.6250, 0.6250, 0.6250)  12 Ni 2.82, 4 Au 2.94

Summary:
- Energy of formation: 0.0901 eV per atom

Record 8
Material: NpNi4Au
Method: DFT, PBE-GGA
State: optimized geometry

abc: 4.8829 4.8829 4.8829
angles: 60.00 60.00 60.00
Last column: nearest neighbours and their distance in Å.
Element x y z (fractional)
Np (0.0000, 0.0000, 0.0000)  12 Ni 2.86, 4 Au 2.99
Ni (0.3753, 0.3753, 0.3753)  6 Ni 2.44-2.45
Ni (0.3753, 0.3753, 0.8741)  6 Ni 2.44-2.45
Ni (0.3753, 0.8741, 0.3753)  6 Ni 2.44-2.45
Ni (0.8741, 0.3753, 0.3753)  6 Ni 2.44-2.45
Au (0.7500, 0.7500, 0.7500)  12 Ni 2.86, 4 Np 2.99

Summary:
- Energy of formation: -0.1400 eV per atom

Record 9
Material: Pa2NiAu2
Method: DFT, PBE-GGA
State: optimized geometry

abc: 4.7219 4.7219 11.2523
angles: 90.00 90.00 120.00
Last column: nearest neighbours and their distance in Å.
Element x y z (fractional)
Pa (0.0000, 0.0000, 0.0000)  2 Ni 2.81, 6 Au 3.03
Pa (0.0000, 0.0000, 0.5000)  2 Ni 2.81, 6 Au 3.03
Pa (0.3333, 0.6667, 0.2500)  3 Ni 2.73
Pa (0.6667, 0.3333, 0.7500)  3 Ni 2.73
Ni (0.0000, 0.0000, 0.2500)  5 Pa 2.73-2.81
Ni (0.0000, 0.0000, 0.7500)  5 Pa 2.73-2.81
Au (0.3333, 0.6667, 0.6171)  1 Au 2.99, 6 Pa 3.03-3.11, 3 Ni 3.11
Au (0.3333, 0.6667, 0.8829)  1 Au 2.99, 6 Pa 3.03-3.11, 3 Ni 3.11
Au (0.6667, 0.3333, 0.1171)  1 Au 2.99, 6 Pa 3.03-3.11, 3 Ni 3.11
Au (0.6667, 0.3333, 0.3829)  1 Au 2.99, 6 Pa 3.03-3.11, 3 Ni 3.11

Summary:
- Energy of formation: -0.2031 eV per atom

Record 10
Material: PaNiAu
Method: DFT, PBE-GGA
State: optimized geometry

abc: 6.5360 6.5360 6.5360
angles: 90.00 90.00 90.00
Last column: nearest neighbours and their distance in Å.
Element x y z (fractional)
Pa (0.0000, 0.0000, 0.0000)  4 Ni 2.83, 4 Au 2.83
Pa (0.0000, 0.5000, 0.5000)  4 Ni 2.83, 4 Au 2.83
Pa (0.5000, 0.0000, 0.5000)  4 Ni 2.83, 4 Au 2.83
Pa (0.5000, 0.5000, 0.0000)  4 Ni 2.83, 4 Au 2.83
Ni (0.2500, 0.2500, 0.2500)  4 Pa 2.83
Ni (0.2500, 0.7500, 0.7500)  4 Pa 2.83
Ni (0.7500, 0.2500, 0.7500)  4 Pa 2.83
Ni (0.7500, 0.7500, 0.2500)  4 Pa 2.83
Au (0.2500, 0.2500, 0.7500)  4 Pa 2.83
Au (0.2500, 0.7500, 0.2500)  4 Pa 2.83
Au (0.7500, 0.2500, 0.2500)  4 Pa 2.83
Au (0.7500, 0.7500, 0.7500)  4 Pa 2.83

Summary:
- Energy above the most stable polymorph in this dataset: 440 meV per atom
- Energy of formation: 0.2061 eV per atom

Record 11
Material: PaNi4Au
Method: DFT, PBE-GGA
State: optimized geometry

abc: 4.9308 4.9308 4.9308
angles: 60.00 60.00 60.00
Last column: nearest neighbours and their distance in Å.
Element x y z (fractional)
Pa (0.0000, 0.0000, 0.0000)  12 Ni 2.89, 4 Au 3.02
Ni (0.3756, 0.3756, 0.3756)  6 Ni 2.45-2.48
Ni (0.3756, 0.3756, 0.8733)  6 Ni 2.45-2.48
Ni (0.3756, 0.8733, 0.3756)  6 Ni 2.45-2.48
Ni (0.8733, 0.3756, 0.3756)  6 Ni 2.45-2.48
Au (0.7500, 0.7500, 0.7500)  12 Ni 2.89, 4 Pa 3.02

Summary:
- Energy of formation: -0.4861 eV per atom

Record 12
Material: Pa2Ni2Au
Method: DFT, PBE-GGA
State: optimized geometry

abc: 7.2877 7.2877 3.5691
angles: 90.00 90.00 90.00
Last column: nearest neighbours and their distance in Å.
Element x y z (fractional)
Pa (0.1730, 0.3270, 0.0000)  6 Ni 2.73-2.84
Pa (0.3270, 0.8270, 0.0000)  6 Ni 2.73-2.84
Pa (0.6730, 0.1730, 0.0000)  6 Ni 2.73-2.84
Pa (0.8270, 0.6730, 0.0000)  6 Ni 2.73-2.84
Ni (0.1260, 0.6260, 0.5000)  1 Ni 2.60, 6 Pa 2.73-2.84, 2 Au 2.88
Ni (0.3740, 0.1260, 0.5000)  1 Ni 2.60, 6 Pa 2.73-2.84, 2 Au 2.88
Ni (0.6260, 0.8740, 0.5000)  1 Ni 2.60, 6 Pa 2.73-2.84, 2 Au 2.88
Ni (0.8740, 0.3740, 0.5000)  1 Ni 2.60, 6 Pa 2.73-2.84, 2 Au 2.88
Au (0.0000, 0.0000, 0.5000)  4 Ni 2.88
Au (0.5000, 0.5000, 0.5000)  4 Ni 2.88

Summary:
- Energy of formation: -0.4300 eV per atom

Record 13
Material: PaNiAu
Method: DFT, PBE-GGA
State: optimized geometry

abc: 6.2818 6.2818 6.2818
angles: 90.00 90.00 90.00
Last column: nearest neighbours and their distance in Å.
Element x y z (fractional)
Pa (0.0000, 0.0000, 0.0000)  4 Ni 2.72
Pa (0.0000, 0.5000, 0.5000)  4 Ni 2.72
Pa (0.5000, 0.0000, 0.5000)  4 Ni 2.72
Pa (0.5000, 0.5000, 0.0000)  4 Ni 2.72
Ni (0.2500, 0.2500, 0.2500)  4 Pa 2.72, 4 Au 2.72
Ni (0.2500, 0.7500, 0.7500)  4 Au 2.72, 4 Pa 2.72
Ni (0.7500, 0.2500, 0.7500)  4 Au 2.72, 4 Pa 2.72
Ni (0.7500, 0.7500, 0.2500)  4 Au 2.72, 4 Pa 2.72
Au (0.0000, 0.0000, 0.5000)  4 Ni 2.72
Au (0.0000, 0.5000, 0.0000)  4 Ni 2.72
Au (0.5000, 0.0000, 0.0000)  4 Ni 2.72
Au (0.5000, 0.5000, 0.5000)  4 Ni 2.72

Summary:
- Energy above the most stable polymorph in this dataset: 0 meV per atom
- Energy of formation: -0.2339 eV per atom

Record 14
Material: ScNiPbAu
Method: DFT, PBE-GGA
State: optimized geometry

abc: 6.6760 6.6760 6.6760
angles: 90.00 90.00 90.00
Last column: nearest neighbours and their distance in Å.
Element x y z (fractional)
Sc (0.0000, 0.0000, 0.0000)  4 Au 2.89, 4 Pb 2.89
Sc (0.0000, 0.5000, 0.5000)  4 Au 2.89, 4 Pb 2.89
Sc (0.5000, 0.0000, 0.5000)  4 Au 2.89, 4 Pb 2.89
Sc (0.5000, 0.5000, 0.0000)  4 Au 2.89, 4 Pb 2.89
Ni (0.0000, 0.0000, 0.5000)  4 Pb 2.89, 4 Au 2.89
Ni (0.0000, 0.5000, 0.0000)  4 Pb 2.89, 4 Au 2.89
Ni (0.5000, 0.0000, 0.0000)  4 Pb 2.89, 4 Au 2.89
Ni (0.5000, 0.5000, 0.5000)  4 Pb 2.89, 4 Au 2.89
Pb (0.2500, 0.2500, 0.2500)  4 Ni 2.89, 4 Sc 2.89
Pb (0.2500, 0.7500, 0.7500)  4 Ni 2.89, 4 Sc 2.89
Pb (0.7500, 0.2500, 0.7500)  4 Ni 2.89, 4 Sc 2.89
Pb (0.7500, 0.7500, 0.2500)  4 Ni 2.89, 4 Sc 2.89
Au (0.2500, 0.2500, 0.7500)  4 Ni 2.89, 4 Sc 2.89
Au (0.2500, 0.7500, 0.2500)  4 Ni 2.89, 4 Sc 2.89
Au (0.7500, 0.2500, 0.2500)  4 Ni 2.89, 4 Sc 2.89
Au (0.7500, 0.7500, 0.7500)  4 Ni 2.89, 4 Sc 2.89

Summary:
- E_tot: -4.978 eV/atom

Number 1: M_tot 4.27 μB/cell. Number 2: M_tot 3.08 μB/cell. Number 3: M_tot 0.01 μB/cell. Number 4: M_tot 3.01 μB/cell. Number 5: M_tot 3.01 μB/cell. Number 6: M_tot 0.31 μB/cell. Number 7: M_tot 0.01 μB/cell. Number 8: M_tot 0.39 μB/cell. Number 9: M_tot 1.67 μB/cell. Number 10: M_tot 0.09 μB/cell. Number 11: M_tot 0.00 μB/cell. Number 12: M_tot 0.01 μB/cell. Number 13: M_tot 4.68 μB/cell. Number 14: M_tot 0.02 μB/cell.